Crystalline Tb4Sm3Ho2 at its relaxed geometry. Source: Alexandria via LeMat-Bulk, functional GGA-PBE.

Properties
* calculated total energy: -4.551 eV per atom

Unit cell a=16.6003 b=11.6021 c=6.0656 alpha=90.00 beta=96.69 gamma=90.00
Space group C2/c (No. 15)
Symmetry-distinct sites (fractional):
1 Tb 0.0632 0.1116 0.0473 x8
2 Tb 0.2284 0.3888 0.8815 x8
3 Sm 0.0000 0.3479 0.7500 x4
4 Sm 0.1674 0.1513 0.5830 x8
5 Ho 0.1034 0.3902 0.2899 x8